No. 1
{"formula": "GeIr2Pb", "functional": "PBE", "state": "relaxed", "lattice_angstrom": [[-3.555, 2.248, 4.101], [2.870, -3.018, 4.142], [3.263, 4.019, 4.833]], "species": ["Pb", "Pb", "Ge", "Ge", "Ir", "Ir", "Ir", "Ir"], "frac_coords": [[0.000, 0.000, 0.000], [0.750, 0.250, 0.500], [0.500, 0.500, 0.000], [0.250, 0.750, 0.500], [0.581, 0.125, 0.250], [0.169, 0.625, 0.250], [0.375, 0.419, 0.750], [0.875, 0.831, 0.750]], "volume_a3_per_cell": 197.9, "magnetic_moment_mub_per_fu": 0.0, "e_form_ev_per_atom": 0.52}

No. 2
{"formula": "Ge2Ir2Pb", "functional": "PBE", "state": "relaxed", "lattice_angstrom": [[-4.418, -5.952, -2.259], [4.417, -0.886, -6.304], [1.739, -1.852, 1.479]], "species": ["Pb", "Pb", "Ge", "Ge", "Ge", "Ge", "Ir", "Ir", "Ir", "Ir"], "frac_coords": [[0.000, 0.000, 0.000], [0.500, 0.500, 0.000], [0.146, 0.646, 0.500], [0.646, 0.854, 0.500], [0.854, 0.354, 0.500], [0.354, 0.146, 0.500], [0.360, 0.860, 0.000], [0.860, 0.640, 0.000], [0.640, 0.140, 0.000], [0.140, 0.360, 0.000]], "volume_a3_per_cell": 176.5, "magnetic_moment_mub_per_fu": 0.0, "e_form_ev_per_atom": 0.05}

Q: What is the formula in the second record?
A: Ge2Ir2Pb